The following is a DFT calculation (SCAN) of FeC at its PBEsol-relaxed geometry.

abc: 3.598 3.598 3.598
angles: 60.00 60.00 60.00
Atoms (fractional coordinates):
1 Fe 0.125 0.125 0.125
2 Fe 0.875 0.875 0.875
3 C 0.375 0.375 0.375
4 C 0.625 0.625 0.625

Values from the calculation:
- total energy (eV/atom) = -12.1635
- symmetry = Fd-3m
- total magnetization (μB per formula unit) = 1.93
- formation energy from the elements (kJ per mole of atoms) = 188